A plane-wave DFT calculation with PBE was carried out for a relaxed ReTc2As crystal.

Cell lengths 5.651, 5.651, 6.723 Å; angles 65.15, 65.15, 90.00 degrees
Fractional coordinates of all 8 atoms:
1 Tc 0.124 0.625 0.250
2 Tc 0.626 0.125 0.250
3 Tc 0.375 0.374 0.750
4 Tc 0.875 0.876 0.750
5 As 0.250 0.750 0.500
6 As 0.500 0.500 0.000
7 Re 0.000 0.000 0.000
8 Re 0.750 0.250 0.500

Summary:
- N(E_F) (states/eV per cell) = 4.66
- energy relative to the elements (eV per atom) = 0.841

A plane-wave DFT calculation with PBE was carried out for a relaxed ReTc2As crystal.

Cell lengths 4.798, 4.798, 4.548 Å; angles 84.74, 84.74, 35.07 degrees
Fractional coordinates of all 4 atoms:
1 Tc 0.986 0.986 0.011
2 Tc 0.514 0.514 0.489
3 Re 0.250 0.250 0.250
4 As 0.750 0.750 0.750

Summary:
- N(E_F) (states/eV per cell) = 3.79
- energy relative to the elements (eV per atom) = 0.219